This record from Alexandria describes a relaxed K4ScCo crystal. The functional is GGA-PBE.

Unit cell a=7.309 b=7.309 c=7.309 alpha=60.00 beta=60.00 gamma=60.00
Atoms (fractional coordinates):
1 K 0.877 0.374 0.374
2 K 0.374 0.374 0.877
3 K 0.374 0.877 0.374
4 K 0.374 0.374 0.374
5 Sc 0.750 0.750 0.750
6 Co 0.000 0.000 0.000

As for the total moment: 3.513 μB per formula unit. As for the raw total energy: -11.17 eV for the cell shown. As for the symmetry: No. 216.



This record from Alexandria describes a relaxed KScCo2 crystal. The functional is GGA-PBE.

Unit cell a=4.797 b=4.797 c=9.314 alpha=75.08 beta=75.08 gamma=90.00
Atoms (fractional coordinates):
1 Sc 0.000 0.000 0.000
2 Sc 0.750 0.250 0.500
3 K 0.500 0.500 0.000
4 K 0.250 0.750 0.500
5 Co 0.876 0.125 0.250
6 Co 0.874 0.625 0.250
7 Co 0.375 0.124 0.750
8 Co 0.875 0.126 0.750

As for the total moment: 1.731 μB per formula unit. As for the raw total energy: -36.35 eV for the cell shown. As for the symmetry: No. 141.